No. 1
Material: KPmAsO
Method: DFT, PBE-GGA
State: optimized geometry

Cell and atoms, written as extended XYZ:
```
8
Lattice="4.1218 0.0000 0.0000 0.0000 4.1218 0.0000 0.0000 0.0000 10.9875" Properties=species:S:1:pos:R:3 pbc="T T T"
Pm 2.0609 0.0000 1.1032
K 2.0609 2.0609 5.4937
Pm 0.0000 2.0609 9.8843
K 0.0000 0.0000 5.4937
O 2.0609 2.0609 0.0000
As 2.0609 0.0000 7.9742
O 0.0000 0.0000 0.0000
As 0.0000 2.0609 3.0133
```

Output
* magnetic moment: 0.01 μB per formula unit
* space-group type: P4/nmm, No. 129
* energy above the most stable polymorph in this dataset: 51 meV/atom



No. 2
Material: KPmAsO
Method: DFT, PBE-GGA
State: optimized geometry

Cell and atoms, written as extended XYZ:
```
8
Lattice="-1.2072 -5.6700 1.3145 4.8800 -1.7177 -2.9273 2.8174 0.4305 4.4442" Properties=species:S:1:pos:R:3 pbc="T T T"
As 3.8486 -0.6436 0.7583
K -0.6028 -2.8349 0.6585
O 1.8364 -3.6938 -0.8064
Pm 1.4087 0.2152 2.2221
K 5.2566 -0.4285 2.9793
O 0.0000 0.0000 0.0000
Pm 3.2451 -3.4786 1.4157
As 0.8052 -2.6197 2.8795
```

Output
* magnetic moment: 0.13 μB per formula unit
* space-group type: P4/mmm, No. 123
* energy above the most stable polymorph in this dataset: 541 meV/atom



No. 3
Material: KPmAsO
Method: DFT, PBE-GGA
State: optimized geometry

Cell and atoms, written as extended XYZ:
```
8
Lattice="-0.5600 5.9408 0.0493 -4.5599 -0.4615 3.8215 3.3491 0.2823 4.0302" Properties=species:S:1:pos:R:3 pbc="T T T"
Pm -1.8854 1.2802 4.8936
O -3.5599 1.1391 2.8785
As 0.4006 1.5115 2.9901
K -0.4965 4.3913 6.9265
As -2.1715 4.2501 4.9109
Pm 0.1146 4.4814 3.0075
K -1.2743 1.3703 0.9746
O -1.5600 4.3403 0.9923
```

Output
* magnetic moment: 0.02 μB per formula unit
* space-group type: P4/nmm, No. 129
* energy above the most stable polymorph in this dataset: 540 meV/atom



No. 4
Material: KPmAsO
Method: DFT, PBE-GGA
State: optimized geometry

Cell and atoms, written as extended XYZ:
```
8
Lattice="-2.1143 1.5865 3.7029 -5.9101 -1.6966 -2.6477 0.4040 -5.3331 2.5156" Properties=species:S:1:pos:R:3 pbc="T T T"
K -3.5232 -1.3302 -1.4418
Pm -2.4801 0.0563 1.3547
As 0.2905 -4.4079 2.0545
As -5.7367 -3.4136 -1.8130
K -2.1377 -3.6570 0.3462
O -3.8866 -1.7135 1.3099
O -3.6846 -4.3800 2.5677
Pm -5.2937 -3.4759 1.2616
```

Output
* magnetic moment: 0.00 μB per formula unit
* space-group type: Pmc2_1, No. 26
* energy above the most stable polymorph in this dataset: 0 meV/atom